[1]
Li7VGeO8 | GGA-PBEsol | optimized geometry

Computed properties:
- Raw formation energy: -2.1523 eV per atom
- Calculated volume: 10.26 A^3/atom
- Crystal system: triclinic
- ΔE to the lowest computed polymorph: 0.0 meV/atom
- Density of states at the Fermi level: 0.000 states/eV/cell

Cell lengths 5.237, 6.215, 10.722 Å; angles 90.35, 90.31, 90.88 degrees
Space group P1 (No. 1)
Symmetry-distinct sites (fractional):
Li (0.000, 0.000, 0.000)
Li (0.003, 0.240, 0.772)
Li (0.072, 0.462, 0.997)
Li (0.178, 0.162, 0.168)
Li (0.357, 0.771, 0.925)
Li (0.365, 0.499, 0.686)
Li (0.374, 0.999, 0.686)
Li (0.391, 0.506, 0.188)
Li (0.507, 0.745, 0.425)
Li (0.543, 0.980, 0.186)
Li (0.745, 0.657, 0.058)
Li (0.821, 0.278, 0.282)
Li (0.866, 0.489, 0.515)
Li (0.870, 0.987, 0.514)
V (0.353, 0.242, 0.436)
V (0.861, 0.740, 0.764)
Ge (0.020, 0.744, 0.267)
Ge (0.520, 0.258, 0.936)
O (0.024, 0.238, 0.435)
O (0.355, 0.768, 0.268)
O (0.374, 0.047, 0.026)
O (0.379, 0.251, 0.788)
O (0.438, 0.504, 0.013)
O (0.456, 0.248, 0.281)
O (0.466, 0.466, 0.511)
O (0.474, 0.026, 0.512)
O (0.533, 0.750, 0.763)
O (0.853, 0.241, 0.933)
O (0.877, 0.734, 0.413)
O (0.897, 0.959, 0.176)
O (0.964, 0.500, 0.177)
O (0.966, 0.517, 0.687)
O (0.972, 0.731, 0.918)
O (0.983, 0.959, 0.689)



[2]
LiVGe2O6 | GGA-PBEsol | optimized geometry

Computed properties:
- Raw formation energy: -1.8941 eV per atom
- Calculated volume: 10.87 A^3/atom
- Crystal system: monoclinic
- Density of states at the Fermi level: 19.324 states/eV/cell

Cell lengths 9.677, 8.718, 5.294 Å; angles 90.00, 103.14, 90.00 degrees
Space group P2_1/c (No. 14)
Symmetry-distinct sites (fractional):
Li (0.240, 0.014, 0.457)
V (0.248, 0.662, 0.457)
Ge (0.055, 0.157, 0.829)
Ge (0.454, 0.154, 0.231)
O (0.114, 0.184, 0.169)
O (0.133, 0.506, 0.240)
O (0.134, 0.666, 0.738)
O (0.359, 0.662, 0.177)
O (0.383, 0.203, 0.501)
O (0.383, 0.527, 0.663)



[3]
Li2VGeO5 | GGA-PBEsol | optimized geometry

Computed properties:
- Raw formation energy: -2.1077 eV per atom
- Calculated volume: 10.56 A^3/atom
- Crystal system: tetragonal
- Density of states at the Fermi level: 0.248 states/eV/cell

Cell lengths 6.494, 6.494, 4.506 Å; angles 90.00, 90.00, 90.00 degrees
Space group P4/nmm (No. 129, origin choice 2)
Symmetry-distinct sites (fractional):
Li (0.000, 0.000, 0.000)
V (0.250, 0.250, 0.404)
Ge (0.250, 0.750, 0.500)
O (0.035, 0.750, 0.736)
O (0.250, 0.250, 0.768)



[4]
Li7VGeO8 | GGA-PBEsol | optimized geometry

Computed properties:
- Raw formation energy: -2.1216 eV per atom
- Calculated volume: 10.49 A^3/atom
- Crystal system: monoclinic
- ΔE to the lowest computed polymorph: 30.7 meV/atom
- Density of states at the Fermi level: 0.000 states/eV/cell

Cell lengths 5.318, 6.311, 10.632 Å; angles 90.00, 91.18, 90.00 degrees
Space group Pm (No. 6)
Symmetry-distinct sites (fractional):
Li (0.000, 0.000, 0.000)
Li (0.008, 0.231, 0.231)
Li (0.164, 0.000, 0.491)
Li (0.248, 0.199, 0.757)
Li (0.485, 0.500, 0.633)
Li (0.527, 0.252, 0.392)
Li (0.634, 0.500, 0.153)
Li (0.645, 0.251, 0.916)
Li (0.901, 0.309, 0.730)
V (0.012, 0.500, 0.483)
V (0.150, 0.500, 0.977)
Ge (0.515, 0.000, 0.152)
Ge (0.669, 0.000, 0.643)
O (0.007, 0.000, 0.664)
O (0.036, 0.500, 0.123)
O (0.038, 0.279, 0.895)
O (0.113, 0.500, 0.644)
O (0.127, 0.282, 0.412)
O (0.182, 0.000, 0.154)
O (0.473, 0.500, 0.978)
O (0.536, 0.000, 0.495)
O (0.575, 0.233, 0.726)
O (0.629, 0.000, 0.997)
O (0.638, 0.228, 0.228)
O (0.689, 0.500, 0.482)



[5]
Li10Zn3Ge4O16 | GGA-PBEsol | optimized geometry

Computed properties:
- Raw formation energy: -1.8303 eV per atom
- Calculated volume: 11.09 A^3/atom
- Crystal system: triclinic
- Density of states at the Fermi level: 0.000 states/eV/cell

Cell lengths 5.268, 6.416, 10.842 Å; angles 91.82, 91.60, 91.96 degrees
Space group P1 (No. 1)
Symmetry-distinct sites (fractional):
Li (0.000, 0.000, 0.000)
Li (0.004, 0.418, 0.008)
Li (0.264, 0.715, 0.898)
Li (0.325, 0.960, 0.658)
Li (0.439, 0.479, 0.176)
Li (0.446, 0.706, 0.406)
Li (0.640, 0.928, 0.878)
Li (0.693, 0.662, 0.031)
Li (0.801, 0.358, 0.318)
Li (0.953, 0.201, 0.749)
Zn (0.311, 0.469, 0.657)
Zn (0.474, 0.991, 0.169)
Zn (0.826, 0.955, 0.490)
Ge (0.323, 0.207, 0.418)
Ge (0.472, 0.256, 0.916)
Ge (0.825, 0.693, 0.734)
Ge (0.958, 0.730, 0.235)
O (0.296, 0.745, 0.236)
O (0.343, 0.222, 0.764)
O (0.363, 0.016, 0.987)
O (0.374, 0.481, 0.994)
O (0.406, 0.449, 0.491)
O (0.450, 0.991, 0.494)
O (0.458, 0.239, 0.271)
O (0.485, 0.721, 0.745)
O (0.801, 0.209, 0.912)
O (0.822, 0.914, 0.136)
O (0.823, 0.705, 0.379)
O (0.848, 0.496, 0.155)
O (0.905, 0.734, 0.896)
O (0.939, 0.464, 0.676)
O (0.943, 0.920, 0.663)
O (0.995, 0.167, 0.401)



[6]
Li5GeP3 | GGA-PBEsol | optimized geometry

Computed properties:
- Calculated volume: 16.19 A^3/atom
- Crystal system: monoclinic
- Density of states at the Fermi level: 6.323 states/eV/cell
- Energy of formation: -511 meV per atom

Cell lengths 12.868, 5.791, 8.236 Å; angles 90.00, 108.29, 90.00 degrees
Space group C2/c (No. 15)
Symmetry-distinct sites (fractional):
Li (0.000, 0.249, 0.250)
Li (0.164, 0.249, 0.570)
Li (0.168, 0.245, 0.089)
Ge (0.000, 0.240, 0.750)
P (0.000, 0.500, 0.000)
P (0.159, 0.026, 0.824)